VASP calculation (PBE) on an optimized crystal structure of Pm2Pr6Y3Mg.

Unit cell a=6.304 b=10.925 c=11.958 alpha=90.00 beta=100.14 gamma=90.00
Space group C2/m (No. 12)
Symmetry-distinct sites (fractional):
Pm 0.000 0.167 0.000 x4
Pr 0.248 0.334 0.250 x8
Pr 0.248 0.500 0.749 x4
Y 0.000 0.000 0.500 x2
Y 0.000 0.334 0.500 x4
Mg 0.000 0.500 0.000 x2

- raw total energy (eV/atom) = -4.9201
- calculated formation energy (meV/atom) = 10.3
- magnetic moment (μB per atom) = 0.0000
- crystal system = monoclinic